Entry 1:
A plane-wave DFT calculation with GGA-PBE was carried out for a relaxed Zn2HF crystal.

It has space group Fm-3m (No. 225), with a = 5.7545 Å, b = 5.7545 Å, c = 5.7545 Å, α = 90.00°, β = 90.00° and γ = 90.00°. The distinct sites, in fractional coordinates, are Zn at (0.2500, 0.2500, 0.2500), H at (0.0000, 0.0000, 0.0000) and F at (0.0000, 0.0000, 0.5000).

***

Entry 2:
A plane-wave DFT calculation with GGA-PBE was carried out for a relaxed Ca2BeRh2 crystal.

It has space group I4/mmm (No. 139), with a = 5.5706 Å, b = 5.5706 Å, c = 6.9373 Å, α = 90.00°, β = 90.00° and γ = 90.00°. The distinct sites, in fractional coordinates, are Ca at (0.0000, 0.5000, 0.2500), Be at (0.0000, 0.0000, 0.0000) and Rh at (0.0000, 0.0000, 0.3083).

The value obtained for the energy relative to the elements is 13.7 kJ/mol of formula units.

***

Entry 3:
A plane-wave DFT calculation with GGA-PBE was carried out for a relaxed ScHg2Cl crystal.

It has space group Pmmm (No. 47), with a = 3.4805 Å, b = 5.2774 Å, c = 5.4150 Å, α = 90.00°, β = 90.00° and γ = 90.00°. The distinct sites, in fractional coordinates, are Sc at (0.0000, 0.0000, 0.0000), Hg at (0.5000, 0.5000, 0.2490) and Cl at (0.0000, 0.0000, 0.5000).

As for the formation energy (no corrections): -35.9 kJ per mole of atoms.

***

no.,excess energy over the best structure of this formula in the dataset (meV/atom)
1,340
2,452
3,332